[1]
TcMoCN | PBE | relaxed

The calculation puts the total moment at 0.00 Bohr magnetons per cell. The uncorrected energy is -9.753 eV/atom. The density comes out at 9.0 Mg/m³.

The structure in CIF format:
```
data_TcMoCN
_symmetry_space_group_name_H-M 'P 1'
_symmetry_Int_Tables_number 1
_cell_length_a 2.848
_cell_length_b 2.848
_cell_length_c 5.401
_cell_angle_alpha 105.29
_cell_angle_beta 105.29
_cell_angle_gamma 90.00
loop_
_symmetry_equiv_pos_as_xyz
'x,y,z'
loop_
_atom_site_label
_atom_site_type_symbol
_atom_site_fract_x
_atom_site_fract_y
_atom_site_fract_z
Tc1 Tc 0.084 0.084 0.168
Mo1 Mo 0.829 0.329 0.658
C1 C 0.661 0.661 0.322
N1 N 0.405 0.905 0.810
```

***

[2]
Ti3VPb | PBE | relaxed

The value obtained for the formation energy is 53.2 kJ per mole of atoms. The calculation puts the total moment at 1.36 Bohr magnetons per cell. The density comes out at 6.7 Mg/m³. The value obtained for the excess energy over the best structure of this formula in the dataset is 0.5001 eV per atom.

The structure in CIF format:
```
data_Ti3VPb
_symmetry_space_group_name_H-M 'P 1'
_symmetry_Int_Tables_number 1
_cell_length_a 4.630
_cell_length_b 4.630
_cell_length_c 4.630
_cell_angle_alpha 90.00
_cell_angle_beta 90.00
_cell_angle_gamma 90.00
loop_
_symmetry_equiv_pos_as_xyz
'x,y,z'
loop_
_atom_site_label
_atom_site_type_symbol
_atom_site_fract_x
_atom_site_fract_y
_atom_site_fract_z
Pb1 Pb 0.500 0.500 0.500
V1 V 0.000 0.000 0.000
Ti1 Ti 0.000 0.500 0.000
Ti2 Ti 0.000 0.000 0.500
Ti3 Ti 0.500 0.000 0.000
```

***

[3]
TiNbVGe | PBE | relaxed

The value obtained for the formation energy is -25.2 kJ per mole of atoms. The calculation puts the total moment at 0.22 Bohr magnetons per cell. The density comes out at 7.1 Mg/m³.

The structure in CIF format:
```
data_TiNbVGe
_symmetry_space_group_name_H-M 'P 1'
_symmetry_Int_Tables_number 1
_cell_length_a 4.439
_cell_length_b 4.439
_cell_length_c 4.439
_cell_angle_alpha 60.00
_cell_angle_beta 60.00
_cell_angle_gamma 60.00
loop_
_symmetry_equiv_pos_as_xyz
'x,y,z'
loop_
_atom_site_label
_atom_site_type_symbol
_atom_site_fract_x
_atom_site_fract_y
_atom_site_fract_z
Nb1 Nb 0.500 0.500 0.500
Ti1 Ti 0.250 0.250 0.250
Ge1 Ge 0.000 0.000 0.000
V1 V 0.750 0.750 0.750
```

***

[4]
Na3Cr2PdS6 | PBE | relaxed

The calculation puts the total moment at 4.96 Bohr magnetons per cell. The uncorrected energy is -5.216 eV/atom. The density comes out at 3.6 Mg/m³.

The structure in CIF format:
```
data_Na3Cr2PdS6
_symmetry_space_group_name_H-M 'P 1'
_symmetry_Int_Tables_number 1
_cell_length_a 6.248
_cell_length_b 6.248
_cell_length_c 6.815
_cell_angle_alpha 99.49
_cell_angle_beta 99.49
_cell_angle_gamma 118.91
loop_
_symmetry_equiv_pos_as_xyz
'x,y,z'
loop_
_atom_site_label
_atom_site_type_symbol
_atom_site_fract_x
_atom_site_fract_y
_atom_site_fract_z
Na1 Na 0.163 0.837 0.500
Na2 Na 0.837 0.163 0.500
Na3 Na 0.500 0.500 0.500
Cr1 Cr 0.335 0.665 0.000
Cr2 Cr 0.665 0.335 0.000
Pd1 Pd 0.000 0.000 0.000
S1 S 0.937 0.600 0.806
S2 S 0.717 0.717 0.205
S3 S 0.063 0.400 0.194
S4 S 0.600 0.937 0.806
S5 S 0.283 0.283 0.795
S6 S 0.400 0.063 0.194
```

***

[5]
CsMg2Au2 | PBE | relaxed

The value obtained for the formation energy is -31.1 kJ per mole of atoms. The calculation puts the total moment at 0.00 Bohr magnetons per cell. The density comes out at 6.9 Mg/m³. The value obtained for the excess energy over the best structure of this formula in the dataset is 0.0000 eV per atom.

The structure in CIF format:
```
data_CsMg2Au2
_symmetry_space_group_name_H-M 'P 1'
_symmetry_Int_Tables_number 1
_cell_length_a 4.755
_cell_length_b 4.755
_cell_length_c 6.976
_cell_angle_alpha 70.07
_cell_angle_beta 70.07
_cell_angle_gamma 90.00
loop_
_symmetry_equiv_pos_as_xyz
'x,y,z'
loop_
_atom_site_label
_atom_site_type_symbol
_atom_site_fract_x
_atom_site_fract_y
_atom_site_fract_z
Cs1 Cs 0.000 0.000 0.000
Mg1 Mg 0.750 0.250 0.500
Mg2 Mg 0.250 0.750 0.500
Au1 Au 0.372 0.372 0.256
Au2 Au 0.628 0.628 0.744
```

***

[6]
Rb4Hg2Pd | PBE | relaxed

The value obtained for the formation energy is -0.9 kJ per mole of atoms. The calculation puts the total moment at 0.00 Bohr magnetons per cell. The density comes out at 3.7 Mg/m³.

The structure in CIF format:
```
data_Rb4Hg2Pd
_symmetry_space_group_name_H-M 'P 1'
_symmetry_Int_Tables_number 1
_cell_length_a 6.448
_cell_length_b 6.448
_cell_length_c 10.189
_cell_angle_alpha 71.55
_cell_angle_beta 71.55
_cell_angle_gamma 90.00
loop_
_symmetry_equiv_pos_as_xyz
'x,y,z'
loop_
_atom_site_label
_atom_site_type_symbol
_atom_site_fract_x
_atom_site_fract_y
_atom_site_fract_z
Rb1 Rb 0.817 0.817 0.366
Rb2 Rb 0.183 0.183 0.634
Rb3 Rb 0.000 0.500 0.000
Rb4 Rb 0.500 0.000 0.000
Hg1 Hg 0.608 0.608 0.785
Hg2 Hg 0.392 0.392 0.215
Pd1 Pd 0.000 0.000 0.000
```

***

[7]
DyGaHg | PBE | relaxed

The value obtained for the formation energy is -23.4 kJ per mole of atoms. The calculation puts the total moment at 0.00 Bohr magnetons per cell. The density comes out at 9.7 Mg/m³. The value obtained for the excess energy over the best structure of this formula in the dataset is 0.2585 eV per atom.

The structure in CIF format:
```
data_DyGaHg
_symmetry_space_group_name_H-M 'P 1'
_symmetry_Int_Tables_number 1
_cell_length_a 4.689
_cell_length_b 8.274
_cell_length_c 8.274
_cell_angle_alpha 85.39
_cell_angle_beta 73.54
_cell_angle_gamma 73.54
loop_
_symmetry_equiv_pos_as_xyz
'x,y,z'
loop_
_atom_site_label
_atom_site_type_symbol
_atom_site_fract_x
_atom_site_fract_y
_atom_site_fract_z
Dy1 Dy 0.284 0.216 0.216
Dy2 Dy 0.716 0.784 0.784
Dy3 Dy 0.500 0.216 0.784
Dy4 Dy 0.500 0.784 0.216
Ga1 Ga 0.203 0.594 0.000
Ga2 Ga 0.797 0.406 0.000
Ga3 Ga 0.797 0.000 0.406
Ga4 Ga 0.203 0.000 0.594
Hg1 Hg 0.629 0.371 0.371
Hg2 Hg 0.371 0.629 0.629
Hg3 Hg 0.000 0.371 0.629
Hg4 Hg 0.000 0.629 0.371
```

***

[8]
Ti3PtN | PBE | relaxed

The calculation puts the total moment at 0.00 Bohr magnetons per cell. The uncorrected energy is -8.764 eV/atom. The density comes out at 8.5 Mg/m³.

The structure in CIF format:
```
data_Ti3PtN
_symmetry_space_group_name_H-M 'P 1'
_symmetry_Int_Tables_number 1
_cell_length_a 5.230
_cell_length_b 5.230
_cell_length_c 7.656
_cell_angle_alpha 113.06
_cell_angle_beta 66.94
_cell_angle_gamma 133.27
loop_
_symmetry_equiv_pos_as_xyz
'x,y,z'
loop_
_atom_site_label
_atom_site_type_symbol
_atom_site_fract_x
_atom_site_fract_y
_atom_site_fract_z
Ti1 Ti 0.669 0.478 0.277
Ti2 Ti 0.164 0.983 0.547
Ti3 Ti 0.917 0.230 0.403
Ti4 Ti 0.141 0.006 0.016
Ti5 Ti 0.894 0.253 0.872
Ti6 Ti 0.389 0.758 0.142
Pt1 Pt 0.402 0.745 0.647
Pt2 Pt 0.656 0.491 0.772
N1 N 0.908 0.239 0.135
N2 N 0.150 0.997 0.284
```